(1)
Crystalline BeTcN at its relaxed geometry. Source: Alexandria, functional GGA-PBE.

The value obtained for the theoretical density is 6.3 g cm⁻³. For the formation energy (no corrections), the calculation gives -175 meV/atom. The calculated total energy is -22.943 eV/f.u. For the excess energy over the best structure of this formula in the dataset, the calculation gives 0.732 eV/f.u. The density of states at the Fermi level comes out at 0.8584 states/eV per atom.

Structure (extended XYZ):
```
3
Lattice="2.768 0.000 0.000 -1.384 2.397 0.000 0.000 0.000 4.824" Properties=species:S:1:pos:R:3 pbc="T T T"
Be 0.000 0.000 0.000
Tc 0.000 1.598 2.864
N 0.000 0.000 1.607
```

(2)
Crystalline BeTcN2 at its relaxed geometry. Source: Alexandria, functional GGA-PBE.

The value obtained for the theoretical density is 5.5 g cm⁻³. For the formation energy (no corrections), the calculation gives -20 meV/atom. The calculated total energy is -30.821 eV/f.u. The density of states at the Fermi level comes out at 0.5053 states/eV per atom.

Structure (extended XYZ):
```
4
Lattice="1.445 0.834 5.618 -1.445 0.834 5.618 0.000 -1.669 5.618" Properties=species:S:1:pos:R:3 pbc="T T T"
Be 0.000 0.000 0.000
Tc 0.000 0.000 8.427
N 0.000 0.000 1.536
N 0.000 0.000 15.319
```